# 1
The following is a DFT calculation (PBE-GGA) of a relaxed structure of DyPbO3.

Structure (CIF):
```
data_DyPbO3
_chemical_formula_sum 'Dy6 Pb6 O18'
_space_group_name_H-M_alt 'R -3 c'
_space_group_IT_number 167
_space_group_name_Hall '-R 3 2"c'
_cell_length_a 5.9918
_cell_length_b 5.9918
_cell_length_c 14.7347
_cell_angle_alpha 90.00
_cell_angle_beta 90.00
_cell_angle_gamma 120.00
loop_
_atom_site_label
_atom_site_type_symbol
_atom_site_fract_x
_atom_site_fract_y
_atom_site_fract_z
Dy1 Dy 0.0000 0.0000 0.0000
Pb1 Pb 0.0000 0.0000 0.2500
O1 O 0.0000 0.3731 0.2500
```

## Properties
E: -6.7199 eV per atom
Total magnetic moment: 1.378 Bohr magnetons per cell

---

# 2
The following is a DFT calculation (PBE-GGA) of a relaxed structure of HoOsNO.

Structure (CIF):
```
data_HoOsNO
_chemical_formula_sum 'Ho2 Os2 N2 O2'
_space_group_name_H-M_alt 'P 4/n m m'
_space_group_IT_number 129
_cell_length_a 4.895
_cell_length_b 4.895
_cell_length_c 4.221
_cell_angle_alpha 90.00
_cell_angle_beta 90.00
_cell_angle_gamma 90.00
loop_
_space_group_symop_operation_xyz
'x,y,z'
'-x,-y,-z'
'-y+1/2,x,z'
'y+1/2,-x,-z'
'-x+1/2,-y+1/2,z'
'x+1/2,y+1/2,-z'
'y,-x+1/2,z'
'-y,x+1/2,-z'
'x+1/2,-y,-z'
'-x+1/2,y,z'
'-y,-x,-z'
'y,x,z'
'-x,y+1/2,-z'
'x,-y+1/2,z'
'y+1/2,x+1/2,-z'
'-y+1/2,-x+1/2,z'
loop_
_atom_site_label
_atom_site_type_symbol
_atom_site_fract_x
_atom_site_fract_y
_atom_site_fract_z
Ho1 Ho 0.250 0.750 0.000
Os1 Os 0.250 0.250 0.498
N1 N 0.250 0.250 0.998
O1 O 0.250 0.750 0.500
```

## Properties
E: -7.9358 eV per atom
Total magnetic moment: 0.033 Bohr magnetons per cell

---

# 3
The following is a DFT calculation (PBE-GGA) of a relaxed structure of HoTlCdTe3.

Structure (CIF):
```
data_HoTlCdTe3
_chemical_formula_sum 'Ho4 Tl4 Cd4 Te12'
_space_group_name_H-M_alt 'P n m a'
_space_group_IT_number 62
_space_group_name_Hall '-P 2ac 2n'
_cell_length_a 15.458
_cell_length_b 4.465
_cell_length_c 11.931
_cell_angle_alpha 90.00
_cell_angle_beta 90.00
_cell_angle_gamma 90.00
loop_
_atom_site_label
_atom_site_type_symbol
_atom_site_fract_x
_atom_site_fract_y
_atom_site_fract_z
Ho1 Ho 0.025 0.250 0.154
Tl1 Tl 0.238 0.250 0.451
Cd1 Cd 0.020 0.750 0.399
Te1 Te 0.097 0.750 0.626
Te2 Te 0.100 0.250 0.920
Te3 Te 0.151 0.750 0.235
```

## Properties
E: -3.6846 eV per atom
Total magnetic moment: 0.009 Bohr magnetons per cell

---

# 4
The following is a DFT calculation (PBE-GGA) of a relaxed structure of NaGdNiTe3.

Structure (CIF):
```
data_NaGdNiTe3
_chemical_formula_sum 'Na4 Gd4 Ni4 Te12'
_space_group_name_H-M_alt 'C m c m'
_space_group_IT_number 63
_space_group_name_Hall '-C 2c 2'
_cell_length_a 4.153
_cell_length_b 15.630
_cell_length_c 10.726
_cell_angle_alpha 90.00
_cell_angle_beta 90.00
_cell_angle_gamma 90.00
loop_
_atom_site_label
_atom_site_type_symbol
_atom_site_fract_x
_atom_site_fract_y
_atom_site_fract_z
Na1 Na 0.000 0.250 0.250
Gd1 Gd 0.000 0.000 0.000
Ni1 Ni 0.000 0.490 0.750
Te1 Te 0.000 0.091 0.750
Te2 Te 0.000 0.368 0.591
```

## Properties
E: -4.3193 eV per atom
Total magnetic moment: 0.012 Bohr magnetons per cell

---

Repeat the second record exactly.
The following is a DFT calculation (PBE-GGA) of a relaxed structure of HoOsNO.

Structure (CIF):
```
data_HoOsNO
_chemical_formula_sum 'Ho2 Os2 N2 O2'
_space_group_name_H-M_alt 'P 4/n m m'
_space_group_IT_number 129
_cell_length_a 4.895
_cell_length_b 4.895
_cell_length_c 4.221
_cell_angle_alpha 90.00
_cell_angle_beta 90.00
_cell_angle_gamma 90.00
loop_
_space_group_symop_operation_xyz
'x,y,z'
'-x,-y,-z'
'-y+1/2,x,z'
'y+1/2,-x,-z'
'-x+1/2,-y+1/2,z'
'x+1/2,y+1/2,-z'
'y,-x+1/2,z'
'-y,x+1/2,-z'
'x+1/2,-y,-z'
'-x+1/2,y,z'
'-y,-x,-z'
'y,x,z'
'-x,y+1/2,-z'
'x,-y+1/2,z'
'y+1/2,x+1/2,-z'
'-y+1/2,-x+1/2,z'
loop_
_atom_site_label
_atom_site_type_symbol
_atom_site_fract_x
_atom_site_fract_y
_atom_site_fract_z
Ho1 Ho 0.250 0.750 0.000
Os1 Os 0.250 0.250 0.498
N1 N 0.250 0.250 0.998
O1 O 0.250 0.750 0.500
```

## Properties
E: -7.9358 eV per atom
Total magnetic moment: 0.033 Bohr magnetons per cell

---

Number 4 is which compound?
NaGdNiTe3